[1]
VASP calculation (GGA-PBE) on crystalline Zr2TcSbIr at its relaxed geometry.

Results
Formation energy without anion corrections, meV/atom: 655
Total energy, eV/atom: -7.434

The structure in extended XYZ format:
```
5
Lattice="4.935 0.000 0.000 0.000 4.935 0.000 0.000 0.000 4.888" Properties=species:S:1:pos:R:3 pbc="T T T"
Zr 0.000 2.468 0.000
Zr 2.468 0.000 0.000
Tc 0.000 0.000 0.000
Sb 0.000 0.000 2.444
Ir 2.468 2.468 2.444
```

[2]
VASP calculation (GGA-PBE) on crystalline CeEr2Be at its relaxed geometry.

Results
Total energy, eV/atom: -4.601
ΔE to the lowest computed polymorph, eV/f.u.: 0.00

The structure in extended XYZ format:
```
4
Lattice="3.386 0.000 0.000 0.000 3.386 0.000 0.000 0.000 8.622" Properties=species:S:1:pos:R:3 pbc="T T T"
Ce 0.000 0.000 0.000
Er 1.693 1.693 2.663
Er 1.693 1.693 5.959
Be 0.000 0.000 4.311
```

[3]
VASP calculation (GGA-PBE) on crystalline DyAlPt5 at its relaxed geometry.

Results
Total energy, eV/atom: -6.398

The structure in extended XYZ format:
```
7
Lattice="4.066 0.000 0.000 0.000 4.066 0.000 0.000 0.000 7.275" Properties=species:S:1:pos:R:3 pbc="T T T"
Dy 0.000 0.000 0.000
Al 2.033 2.033 3.637
Pt 0.000 2.033 2.127
Pt 0.000 2.033 5.148
Pt 2.033 0.000 2.127
Pt 2.033 0.000 5.148
Pt 2.033 2.033 0.000
```

[4]
VASP calculation (GGA-PBE) on crystalline LiLaDyIn at its relaxed geometry.

Results
Total energy, eV/atom: -3.805

The structure in extended XYZ format:
```
16
Lattice="7.663 0.000 0.000 0.000 7.663 0.000 0.000 0.000 7.663" Properties=species:S:1:pos:R:3 pbc="T T T"
Li 0.000 0.000 0.000
Li 0.000 3.832 3.832
Li 3.832 0.000 3.832
Li 3.832 3.832 0.000
La 1.916 1.916 5.747
La 1.916 5.747 1.916
La 5.747 1.916 1.916
La 5.747 5.747 5.747
Dy 1.916 1.916 1.916
Dy 1.916 5.747 5.747
Dy 5.747 1.916 5.747
Dy 5.747 5.747 1.916
In 0.000 0.000 3.832
In 0.000 3.832 0.000
In 3.832 0.000 0.000
In 3.832 3.832 3.832
```